[1]
MnIn2O6 | Alexandria | GGA+U | relaxed; space group = Immm (71); uncorrected energy = -5.678 eV/atom; magnetic moment = 0.994 Bohr magnetons per cell; Fermi-level density of states = 0.4388 states/eV/atom
1.0
3.713 0.000 -0.160
0.000 5.200 0.000
-1.629 -2.600 5.343
O In Mn
6 2 1
direct
0.154 0.398 0.309 O
0.500 0.771 0.000 O
0.154 0.911 0.309 O
0.846 0.602 0.691 O
0.846 0.089 0.691 O
0.500 0.229 0.000 O
0.331 0.331 0.663 In
0.669 0.669 0.337 In
0.000 0.000 0.000 Mn

***

[2]
Li6V3P8O29 | Alexandria | GGA+U | relaxed; space group = P1 (1); polymorph energy (0 for the lowest one) = 6 meV/atom; uncorrected energy = -7.019 eV/atom; magnetic moment = 5.976 Bohr magnetons per cell
1.0
9.821 -0.006 -0.068
4.820 8.505 -0.101
-0.062 -0.083 14.053
O Li V P
58 12 6 16
direct
0.222 0.774 0.431 O
0.793 0.980 0.231 O
0.328 0.493 0.829 O
0.653 0.819 0.683 O
0.749 0.922 0.840 O
0.327 0.332 0.479 O
0.673 0.593 0.031 O
0.338 0.909 0.339 O
0.204 0.013 0.756 O
0.667 0.250 0.162 O
0.808 0.660 0.168 O
0.240 0.001 0.576 O
0.785 0.212 0.758 O
0.984 0.808 0.733 O
0.002 0.759 0.559 O
0.325 0.177 0.335 O
0.492 0.195 0.834 O
0.514 0.807 0.155 O
0.908 0.358 0.836 O
0.214 0.775 0.251 O
0.006 0.249 0.440 O
0.015 0.824 0.912 O
0.663 0.514 0.194 O
0.019 0.190 0.264 O
0.334 0.351 0.978 O
0.251 0.667 0.655 O
0.219 0.992 0.938 O
0.939 0.627 0.837 O
0.101 0.523 0.671 O
0.241 0.748 0.072 O
0.784 0.216 0.579 O
0.478 0.323 0.330 O
0.613 0.480 0.832 O
0.372 0.118 0.678 O
0.461 0.929 0.841 O
0.510 0.109 0.171 O
0.102 0.357 0.167 O
0.658 0.677 0.527 O
0.740 0.016 0.054 O
0.664 0.079 0.661 O
0.814 0.523 0.673 O
0.780 0.238 0.934 O
0.383 0.502 0.174 O
0.515 0.663 0.671 O
0.917 0.743 0.331 O
0.255 0.064 0.161 O
0.620 0.901 0.315 O
0.521 0.373 0.671 O
0.183 0.480 0.333 O
0.472 0.610 0.341 O
0.910 0.469 0.321 O
0.196 0.329 0.826 O
0.986 0.197 0.086 O
0.078 0.261 0.662 O
0.768 0.005 0.413 O
0.337 0.752 0.837 O
0.093 0.638 0.160 O
0.756 0.327 0.348 O
0.999 0.041 0.982 Li
0.905 0.321 0.563 Li
0.325 0.327 0.112 Li
0.757 0.350 0.061 Li
0.086 0.678 0.430 Li
0.233 0.685 0.939 Li
0.677 0.100 0.933 Li
0.345 0.328 0.611 Li
0.227 0.086 0.440 Li
0.310 0.777 0.558 Li
0.830 0.985 0.539 Li
0.330 0.890 0.063 Li
0.001 0.443 0.757 V
0.571 0.420 0.263 V
0.996 0.560 0.244 V
0.434 0.991 0.249 V
0.564 0.002 0.754 V
0.434 0.569 0.749 V
0.774 0.910 0.329 P
0.335 0.340 0.871 P
0.086 0.207 0.164 P
0.686 0.224 0.662 P
0.084 0.687 0.650 P
0.917 0.312 0.349 P
0.236 0.663 0.160 P
0.768 0.327 0.845 P
0.665 0.668 0.632 P
0.225 0.097 0.664 P
0.328 0.329 0.372 P
0.922 0.793 0.838 P
0.665 0.647 0.132 P
0.309 0.922 0.848 P
0.675 0.090 0.149 P
0.316 0.762 0.345 P

***

Q: What is the formula in the second record?
A: Li6V3P8O29